Record 1
# Ta2ZnAu, relaxed, DFT PBE
# DFT formation energy: 129.7 kJ/mol of formula units
# calculated volume: 279.80 Å³ per cell
data_Ta2ZnAu
_space_group_name_H-M_alt 'F -4 3 m'
_space_group_IT_number 216
_space_group_name_Hall 'F -4 2 3'
_cell_length_a 6.541
_cell_length_b 6.541
_cell_length_c 6.541
_cell_angle_alpha 90.00
_cell_angle_beta 90.00
_cell_angle_gamma 90.00
loop_
_atom_site_label
_atom_site_type_symbol
_atom_site_fract_x
_atom_site_fract_y
_atom_site_fract_z
_atom_site_occupancy
Ta1 Ta 0.000 0.000 0.000 1
Ta2 Ta 0.250 0.250 0.250 1
Zn1 Zn 0.000 0.000 0.500 1
Au1 Au 0.250 0.250 0.750 1

***

Record 2
# FeSi17Ge14, relaxed, DFT PBE
# electronic total energy: -162.7 eV per cell
# calculated volume: 687.90 Å³ per cell
data_FeSi17Ge14
_space_group_name_H-M_alt 'P 1 m 1'
_space_group_IT_number 6
_space_group_name_Hall 'P -2y'
_cell_length_a 5.568
_cell_length_b 3.935
_cell_length_c 31.398
_cell_angle_alpha 90.00
_cell_angle_beta 90.01
_cell_angle_gamma 90.00
loop_
_atom_site_label
_atom_site_type_symbol
_atom_site_fract_x
_atom_site_fract_y
_atom_site_fract_z
_atom_site_occupancy
Fe1 Fe 0.000 0.000 0.000 1
Si1 Si 0.210 0.500 0.999 1
Si2 Si 0.232 0.500 0.750 1
Si3 Si 0.233 0.500 0.252 1
Si4 Si 0.234 0.500 0.500 1
Si5 Si 0.483 0.500 0.439 1
Si6 Si 0.483 0.500 0.690 1
Si7 Si 0.493 0.500 0.941 1
Si8 Si 0.741 0.000 0.944 1
Si9 Si 0.745 0.000 0.561 1
Si10 Si 0.745 0.000 0.812 1
Si11 Si 0.746 0.000 0.312 1
Si12 Si 0.757 0.000 0.058 1
Si13 Si 0.980 0.000 0.123 1
Si14 Si 0.983 0.000 0.375 1
Si15 Si 0.996 0.000 0.252 1
Si16 Si 0.996 0.000 0.500 1
Si17 Si 0.996 0.000 0.751 1
Ge1 Ge 0.233 0.500 0.124 1
Ge2 Ge 0.236 0.500 0.376 1
Ge3 Ge 0.247 0.500 0.626 1
Ge4 Ge 0.249 0.500 0.877 1
Ge5 Ge 0.482 0.500 0.189 1
Ge6 Ge 0.493 0.500 0.060 1
Ge7 Ge 0.493 0.500 0.811 1
Ge8 Ge 0.495 0.500 0.312 1
Ge9 Ge 0.495 0.500 0.561 1
Ge10 Ge 0.733 0.000 0.690 1
Ge11 Ge 0.736 0.000 0.438 1
Ge12 Ge 0.747 0.000 0.188 1
Ge13 Ge 0.977 0.000 0.877 1
Ge14 Ge 0.982 0.000 0.625 1

***

Record 3
# Mo2P, relaxed, DFT PBE
# calculated volume: 175.54 Å³ per cell
# polymorph energy (0 for the lowest one): 131.5 meV per atom
data_Mo2P
_space_group_name_H-M_alt 'P n m a'
_space_group_IT_number 62
_space_group_name_Hall '-P 2ac 2n'
_cell_length_a 5.924
_cell_length_b 4.048
_cell_length_c 7.320
_cell_angle_alpha 90.00
_cell_angle_beta 90.00
_cell_angle_gamma 90.00
loop_
_atom_site_label
_atom_site_type_symbol
_atom_site_fract_x
_atom_site_fract_y
_atom_site_fract_z
_atom_site_occupancy
Mo1 Mo 0.010 0.250 0.175 1
Mo2 Mo 0.128 0.250 0.551 1
P1 P 0.224 0.250 0.875 1

***

Record 4
# HoTc2, relaxed, DFT PBE
# DFT formation energy: -58.7 kJ/mol of formula units
# calculated volume: 219.75 Å³ per cell
# polymorph energy (0 for the lowest one): 0.0 meV per atom
data_HoTc2
_space_group_name_H-M_alt 'P 63/m m c'
_space_group_IT_number 194
_space_group_name_Hall '-P 6c 2c'
_cell_length_a 5.3586
_cell_length_b 5.3586
_cell_length_c 8.8363
_cell_angle_alpha 90.00
_cell_angle_beta 90.00
_cell_angle_gamma 120.00
loop_
_atom_site_label
_atom_site_type_symbol
_atom_site_fract_x
_atom_site_fract_y
_atom_site_fract_z
_atom_site_occupancy
Ho1 Ho 0.3333 0.6667 0.0629 1
Tc1 Tc 0.0000 0.0000 0.0000 1
Tc2 Tc 0.1712 0.3424 0.7500 1

***

Record 5
# PaCdPO, relaxed, DFT PBE
# calculated volume: 168.90 Å³ per cell
# polymorph energy (0 for the lowest one): 146.6 meV per atom
data_PaCdPO
_space_group_name_H-M_alt 'P m c 21'
_space_group_IT_number 26
_space_group_name_Hall 'P 2c -2'
_cell_length_a 4.235
_cell_length_b 7.027
_cell_length_c 5.676
_cell_angle_alpha 90.00
_cell_angle_beta 90.00
_cell_angle_gamma 90.00
loop_
_atom_site_label
_atom_site_type_symbol
_atom_site_fract_x
_atom_site_fract_y
_atom_site_fract_z
_atom_site_occupancy
Pa1 Pa 0.000 0.223 0.000 1
Cd1 Cd 0.500 0.384 0.502 1
P1 P 0.000 0.184 0.500 1
O1 O 0.500 0.164 0.998 1

***

Record 6
# CsPaGa, relaxed, DFT PBE
# calculated volume: 363.94 Å³ per cell
# polymorph energy (0 for the lowest one): 305.4 meV per atom
data_CsPaGa
_space_group_name_H-M_alt 'F -4 3 m'
_space_group_IT_number 216
_space_group_name_Hall 'F -4 2 3'
_cell_length_a 7.140
_cell_length_b 7.140
_cell_length_c 7.140
_cell_angle_alpha 90.00
_cell_angle_beta 90.00
_cell_angle_gamma 90.00
loop_
_atom_site_label
_atom_site_type_symbol
_atom_site_fract_x
_atom_site_fract_y
_atom_site_fract_z
_atom_site_occupancy
Cs1 Cs 0.000 0.000 0.000 1
Pa1 Pa 0.250 0.250 0.250 1
Ga1 Ga 0.250 0.250 0.750 1

***

The highest calculated volume belongs to which entry?
FeSi17Ge14

***

Number 6 is which compound?
CsPaGa

***

Which formula does entry 1 have?
Ta2ZnAu